Ca2ScBi2 | Alexandria via LeMat-Bulk | PBE | relaxed; crystal system = tetragonal; DFT total energy = -4.268 eV per atom
1.0
-6.935 -1.672 4.117
3.791 -6.206 3.865
1.275 2.833 3.299
Ca Bi Sc
4 4 2
Direct
0.851 0.351 0.500
0.149 0.649 0.500
0.649 0.851 0.500
0.351 0.149 0.500
0.660 0.160 0.000
0.160 0.340 0.000
0.840 0.660 0.000
0.340 0.840 0.000
0.000 0.000 0.000
0.500 0.500 0.000

=====

Zn2SiTe | Alexandria via LeMat-Bulk | PBE | relaxed; raw formation energy = 455 meV per atom; crystal system = cubic
1.0
3.246 -0.781 3.477
2.534 3.683 1.803
-0.853 1.546 4.485
Te Zn Si
1 2 1
Direct
0.500 0.500 0.500
0.750 0.750 0.750
0.250 0.250 0.250
0.000 0.000 0.000

=====

| no. | D(E_F) (states/eV/f.u.) | magnetic moment (μB per formula unit) |
| --- | --- | --- |
| 1 | 1.1 | 1.0 |
| 2 | 3.1 | 0.0 |